Entry from the Alexandria database: BaMn2Tc after structural relaxation (PBE).

```
4
Lattice="9.7201 0.0644 0.0379 9.1838 3.1847 0.0379 9.1838 1.5785 2.7663" Properties=species:S:1:pos:R:3 pbc="T T T"
Ba 21.0658 3.6207 2.1316
Mn 27.5186 4.7298 2.7845
Mn 14.6131 2.5116 1.4787
Tc 7.0219 1.2069 0.7105
```

Energy above the lowest structure with this stoichiometry   456 meV/atom
Total magnetization   6.4 Bohr magnetons per cell
Final energy   -6.721 eV/atom
Formation enthalpy at 0 K   3.7 eV per formula unit